1.
## KCoRe (PBE-GGA)

Data for KCoRe after structural relaxation.

SG   I4mm, No. 107
Calculated total energy   -17.96 eV per cell
E above lowest polymorph   0.341 eV/atom

Cell and atoms, written as POSCAR:
```
KCoRe
1.0
7.262 -0.010 0.010
6.680 2.847 0.019
0.581 0.109 2.855
Co Re K
1 1 1
Cartesian
1.055 0.206 2.755 Co
8.919 1.812 1.092 Re
5.131 1.038 1.893 K
```

---

2.
## K2CoRe (PBE-GGA)

Data for K2CoRe after structural relaxation.

SG   P4/mmm, No. 123
Calculated total energy   -15.33 eV per cell
E above lowest polymorph   0.741 eV/atom

Cell and atoms, written as POSCAR:
```
K2CoRe
1.0
-1.741 -4.278 -3.299
1.912 -2.408 2.113
-2.992 -0.463 2.180
Co Re K
1 1 2
Cartesian
-2.367 -2.371 -0.560 Co
0.085 -3.343 -0.593 Re
0.000 0.000 0.000 K
-0.540 -1.435 2.146 K
```

---

3.
## K2CoRe (PBE-GGA)

Data for K2CoRe after structural relaxation.

SG   Pmmm, No. 47
Calculated total energy   -15.82 eV per cell
E above lowest polymorph   0.618 eV/atom

Cell and atoms, written as POSCAR:
```
K2CoRe
1.0
-0.575 2.564 -0.887
-2.904 -1.840 -3.434
-4.511 0.261 3.675
K Re Co
2 1 1
Cartesian
-1.740 0.362 -2.161 K
0.000 0.000 0.000 K
-2.543 1.412 1.394 Re
-3.708 -0.789 0.121 Co
```

---

4.
## KCo2Re (PBE-GGA)

Data for KCo2Re after structural relaxation.

SG   Fm-3m, No. 225
Calculated total energy   -21.80 eV per cell
E above lowest polymorph   0.841 eV/atom

Cell and atoms, written as POSCAR:
```
KCo2Re
1.0
3.652 -1.881 -1.664
0.814 -4.294 0.738
-0.327 -2.920 -3.319
K Re Co
1 1 2
Cartesian
0.000 0.000 0.000 K
2.070 -4.548 -2.123 Re
3.104 -6.822 -3.184 Co
1.035 -2.274 -1.061 Co
```

---

5.
## KCoRe2 (PBE-GGA)

Data for KCoRe2 after structural relaxation.

SG   P2/m, No. 10
Calculated total energy   -27.60 eV per cell
E above lowest polymorph   0.564 eV/atom

Cell and atoms, written as POSCAR:
```
KCoRe2
1.0
5.114 0.000 0.000
0.000 2.603 0.000
0.000 0.011 5.136
Co Re K
1 2 1
Cartesian
2.557 0.654 1.284 Co
0.000 0.207 0.092 Re
0.000 1.100 2.476 Re
2.557 1.961 3.852 K
```

---

6.
## KCo2Re (PBE-GGA)

Data for KCo2Re after structural relaxation.

SG   Pm, No. 6
Calculated total energy   -24.28 eV per cell
E above lowest polymorph   0.220 eV/atom

Cell and atoms, written as POSCAR:
```
KCo2Re
1.0
-3.689 1.311 -0.779
-0.540 -2.259 -1.245
-2.598 -3.916 5.709
Re Co K
1 2 1
Cartesian
-4.501 -4.417 3.651 Re
-2.315 -0.214 0.374 Co
-2.648 -4.259 5.368 Co
-1.530 -2.976 2.234 K
```

---

7.
## KCoRe2 (PBE-GGA)

Data for KCoRe2 after structural relaxation.

SG   Imm2, No. 44
Calculated total energy   -27.44 eV per cell
E above lowest polymorph   0.603 eV/atom

Cell and atoms, written as POSCAR:
```
KCoRe2
1.0
-4.789 -0.613 2.972
-1.441 -5.404 0.929
3.559 4.339 0.810
Re K Co
2 1 1
Cartesian
-0.303 -0.293 0.190 Re
-0.506 -2.045 1.850 Re
-2.135 0.395 2.843 K
-2.842 -2.745 1.779 Co
```

---

8.
## K2CoRe (PBE-GGA)

Data for K2CoRe after structural relaxation.

SG   I4/mmm, No. 139
Calculated total energy   -15.33 eV per cell
E above lowest polymorph   0.740 eV/atom

Cell and atoms, written as POSCAR:
```
K2CoRe
1.0
6.266 0.000 0.000
4.041 4.789 0.000
-5.153 -2.395 2.641
K Re Co
2 1 1
Cartesian
0.000 0.000 0.000 K
5.153 2.395 0.000 K
2.020 2.395 1.320 Re
3.133 0.000 1.320 Co
```

---

9.
## K2CoRe (PBE-GGA)

Data for K2CoRe after structural relaxation.

SG   Imm2, No. 44
Calculated total energy   -16.93 eV per cell
E above lowest polymorph   0.341 eV/atom

Cell and atoms, written as POSCAR:
```
K2CoRe
1.0
6.556 0.064 0.030
2.893 5.883 -0.030
-3.906 -4.274 3.076
K Co Re
2 1 1
Cartesian
1.991 2.377 1.523 K
9.174 5.774 0.000 K
3.105 -0.985 1.553 Co
5.447 3.429 0.000 Re
```

---

10.
## KCoRe2 (PBE-GGA)

Data for KCoRe2 after structural relaxation.

SG   Cm, No. 8
Calculated total energy   -29.51 eV per cell
E above lowest polymorph   0.086 eV/atom

Cell and atoms, written as POSCAR:
```
KCoRe2
1.0
4.653 0.001 0.005
3.892 2.550 0.005
0.537 0.160 7.049
Re Co K
2 1 1
Cartesian
8.454 2.523 0.785 Re
2.166 0.647 1.793 Re
4.705 1.404 2.783 Co
6.844 2.043 5.238 K
```

---

11.
## KCo2Re (PBE-GGA)

Data for KCo2Re after structural relaxation.

SG   P2/m, No. 10
Calculated total energy   -22.62 eV per cell
E above lowest polymorph   0.634 eV/atom

Cell and atoms, written as POSCAR:
```
KCo2Re
1.0
-0.571 2.241 0.979
-0.263 -2.586 5.766
3.857 -0.593 3.604
Re Co K
1 2 1
Cartesian
1.929 -0.296 1.802 Re
0.000 0.000 0.000 Co
-0.417 -0.173 3.372 Co
1.512 -0.469 5.174 K
```

---

12.
## KCoRe2 (PBE-GGA)

Data for KCoRe2 after structural relaxation.

SG   C2/m, No. 12
Calculated total energy   -27.52 eV per cell
E above lowest polymorph   0.584 eV/atom

Cell and atoms, written as POSCAR:
```
KCoRe2
1.0
-4.664 0.426 2.125
4.043 -2.146 3.579
0.399 2.105 1.451
Re K Co
2 1 1
Cartesian
-2.132 1.265 1.788 Re
0.000 0.000 0.000 Re
-0.310 -0.860 2.852 K
2.221 -0.020 2.515 Co
```